No. 1
# PBE CaSb2Os, optimized geometry
data_CaSb2Os
_chemical_formula_sum 'Ca1 Sb2 Os1'
_cell_length_a 3.345
_cell_length_b 3.345
_cell_length_c 7.850
_cell_angle_alpha 90.00
_cell_angle_beta 90.00
_cell_angle_gamma 90.00
_symmetry_space_group_name_H-M 'P 4/m m m'
_symmetry_Int_Tables_number 123
_symmetry_space_group_name_Hall '-P 4 2'
loop_
_atom_site_label
_atom_site_type_symbol
_atom_site_fract_x
_atom_site_fract_y
_atom_site_fract_z
Ca1 Ca 0.000 0.000 0.000
Sb1 Sb 0.500 0.500 0.294
Os1 Os 0.000 0.000 0.500
# energy above the lowest structure with this stoichiometry	206	meV/atom
# formation energy without anion corrections	0.029	eV per atom



No. 2
# PBE CaSb2Os, optimized geometry
data_CaSb2Os
_chemical_formula_sum 'Ca1 Sb2 Os1'
_cell_length_a 3.609
_cell_length_b 3.609
_cell_length_c 7.139
_cell_angle_alpha 90.00
_cell_angle_beta 90.00
_cell_angle_gamma 90.00
_symmetry_space_group_name_H-M 'P 4 m m'
_symmetry_Int_Tables_number 99
_symmetry_space_group_name_Hall 'P 4 -2'
loop_
_atom_site_label
_atom_site_type_symbol
_atom_site_fract_x
_atom_site_fract_y
_atom_site_fract_z
Ca1 Ca 0.000 0.000 0.000
Sb1 Sb 0.000 0.000 0.441
Sb2 Sb 0.500 0.500 0.715
Os1 Os 0.500 0.500 0.301
# energy above the lowest structure with this stoichiometry	304	meV/atom
# formation energy without anion corrections	0.128	eV per atom



No. 3
# PBE CaSb2Os, optimized geometry
data_CaSb2Os
_chemical_formula_sum 'Ca1 Sb2 Os1'
_cell_length_a 3.291
_cell_length_b 3.291
_cell_length_c 8.979
_cell_angle_alpha 90.00
_cell_angle_beta 90.00
_cell_angle_gamma 90.00
_symmetry_space_group_name_H-M 'P 4 m m'
_symmetry_Int_Tables_number 99
_symmetry_space_group_name_Hall 'P 4 -2'
loop_
_atom_site_label
_atom_site_type_symbol
_atom_site_fract_x
_atom_site_fract_y
_atom_site_fract_z
Ca1 Ca 0.000 0.000 0.000
Sb1 Sb 0.000 0.000 0.381
Sb2 Sb 0.500 0.500 0.722
Os1 Os 0.500 0.500 0.227
# energy above the lowest structure with this stoichiometry	196	meV/atom
# formation energy without anion corrections	0.019	eV per atom



> The lowest energy above the lowest structure with this stoichiometry belongs to which entry?

number 3



> formation energy without anion corrections of number 2 (CaSb2Os)?

0.128 eV per atom